# 1
Below is CuTcPb2 after structural relaxation, with properties calculated at the PBEsol level.

a = 3.0878 Å, b = 4.4701 Å, c = 12.0385 Å
α = 90.00°, β = 90.00°, γ = 90.00°
Space group Imm2 (No. 44)
Asymmetric unit:
Cu1 0.0000 0.0000 0.0000 x2
Tc1 0.0000 0.5000 0.3274 x2
Pb1 0.0000 0.0000 0.6074 x2
Pb2 0.0000 0.5000 0.8280 x2

Relative energy among the computed polymorphs: 0.03 eV/f.u.
Formation energy: 558 meV/atom

=====

# 2
Below is CuTcPb2 after structural relaxation, with properties calculated at the PBEsol level.

a = 3.4622 Å, b = 3.4622 Å, c = 6.1997 Å
α = 90.00°, β = 90.00°, γ = 90.00°
Space group P4/mmm (No. 123)
Asymmetric unit:
Cu1 0.0000 0.0000 0.0000 x1
Tc1 0.0000 0.0000 0.5000 x1
Pb1 0.5000 0.5000 0.2495 x2

Relative energy among the computed polymorphs: 0.00 eV/f.u.
Formation energy: 550 meV/atom

=====

# 3
Below is Cu2TePb after structural relaxation, with properties calculated at the PBEsol level.

a = 3.9823 Å, b = 5.3152 Å, c = 7.6033 Å
α = 90.00°, β = 90.00°, γ = 90.00°
Space group Immm (No. 71)
Asymmetric unit:
Cu1 0.0000 0.0000 0.2398 x4
Te1 0.0000 0.5000 0.5000 x2
Pb1 0.0000 0.5000 0.0000 x2

Relative energy among the computed polymorphs: 1.07 eV/f.u.
Formation energy from raw total energies: 30.5 kJ/mol of atoms

=====

# 4
Below is CuTePb after structural relaxation, with properties calculated at the PBEsol level.

a = 7.0447 Å, b = 7.0447 Å, c = 7.0447 Å
α = 90.00°, β = 90.00°, γ = 90.00°
Space group F-43m (No. 216)
Asymmetric unit:
Cu1 0.0000 0.0000 0.0000 x4
Te1 0.0000 0.0000 0.5000 x4
Pb1 0.2500 0.2500 0.2500 x4

Relative energy among the computed polymorphs: 1.11 eV/f.u.
Formation energy from raw total energies: 49.1 kJ/mol of atoms

=====

# 5
Below is Cu2TePb after structural relaxation, with properties calculated at the PBEsol level.

a = 6.8080 Å, b = 6.8080 Å, c = 6.8080 Å
α = 90.00°, β = 90.00°, γ = 90.00°
Space group Fm-3m (No. 225)
Asymmetric unit:
Cu1 0.2500 0.2500 0.2500 x8
Te1 0.0000 0.0000 0.0000 x4
Pb1 0.0000 0.0000 0.5000 x4

Relative energy among the computed polymorphs: 1.17 eV/f.u.
Formation energy from raw total energies: 32.9 kJ/mol of atoms

=====

# 6
Below is CuTePb2 after structural relaxation, with properties calculated at the PBEsol level.

a = 4.0054 Å, b = 4.1241 Å, c = 12.4269 Å
α = 90.00°, β = 90.00°, γ = 90.00°
Space group Amm2 (No. 38)
Asymmetric unit:
Cu1 0.0000 0.0000 0.0000 x2
Te1 0.5000 0.0000 0.1380 x2
Pb1 0.0000 0.0000 0.7748 x2
Pb2 0.5000 0.0000 0.4342 x2

Formation energy from raw total energies: 5.2 kJ/mol of atoms

=====

# 7
Below is CuTePb after structural relaxation, with properties calculated at the PBEsol level.

a = 4.2120 Å, b = 5.5071 Å, c = 12.3734 Å
α = 90.00°, β = 90.00°, γ = 90.00°
Space group Fmm2 (No. 42)
Asymmetric unit:
Cu1 0.0000 0.0000 0.0000 x4
Te1 0.0000 0.0000 0.6190 x4
Pb1 0.0000 0.0000 0.3540 x4

Relative energy among the computed polymorphs: 0.00 eV/f.u.
Formation energy from raw total energies: 13.4 kJ/mol of atoms

=====

# 8
Below is CuTePb2 after structural relaxation, with properties calculated at the PBEsol level.

a = 4.2113 Å, b = 4.2113 Å, c = 20.5817 Å
α = 90.00°, β = 90.00°, γ = 120.00°
Space group R-3m (No. 166, hexagonal axes)
Asymmetric unit:
Cu1 0.0000 0.0000 0.0000 x3
Te1 0.0000 0.0000 0.5000 x3
Pb1 0.0000 0.0000 0.2661 x6

Formation energy from raw total energies: 8.8 kJ/mol of atoms